Here is crystalline KInAgAu2 at its relaxed geometry from Alexandria via LeMat-Bulk. Energies are from PBE-GGA.

Lattice parameters (Å, degrees): 4.4827 4.4827 12.5874 90.00 90.00 90.00
Space group I-4m2 (No. 119)
Asymmetric unit:
K1 0.0000 0.0000 0.0000 [2 per cell]
In1 0.0000 0.5000 0.2500 [2 per cell]
Ag1 0.0000 0.5000 0.7500 [2 per cell]
Au1 0.0000 0.0000 0.3913 [4 per cell]

## Properties
V: 126.47 Å³/f.u.
Energy relative to the elements: -0.190 eV/atom
Crystal system: tetragonal